(1)
LiBeAlMo2 (meta-GGA SCAN, PBEsol geometry); calculated formation energy = 1260 meV per atom
1.0
-3.4592 2.1759 0.0802
-0.1674 -0.1132 -4.1497
-2.2069 -3.5152 0.1849
Mo Be Li Al
2 1 1 1
direct
0.0000 0.0000 0.5000 Mo
0.0000 0.5000 0.0000 Mo
0.5000 0.5000 0.5000 Be
0.0000 0.0000 0.0000 Li
0.5000 0.0000 0.0000 Al

(2)
Mg2Ag (meta-GGA SCAN, PBEsol geometry); calculated formation energy = -207 meV per atom
1.0
-1.6637 -2.8358 0.4079
2.8560 -1.6790 -0.0245
-0.2357 2.7945 5.0123
Mg Ag
2 1
direct
0.3491 0.3491 0.6982 Mg
0.6509 0.6509 0.3018 Mg
0.0000 0.0000 0.0000 Ag

(3)
CoCuNi2 (meta-GGA SCAN, PBEsol geometry); calculated formation energy = 72 meV per atom
1.0
2.4591 0.0000 0.0000
0.0000 4.2661 -0.0036
-1.2296 -0.7046 4.0286
Ni Co Cu
2 1 1
direct
0.9979 0.0028 0.9959 Ni
0.2492 0.7419 0.4984 Ni
0.5029 0.5101 0.0057 Co
0.7500 0.2452 0.5000 Cu

(4)
CoRe (meta-GGA SCAN, PBEsol geometry); calculated formation energy = 102 meV per atom
1.0
2.5780 0.0000 0.0000
0.0000 3.9688 0.0000
-1.2890 0.0000 4.7533
Re Co
2 2
direct
0.8345 0.7500 0.6690 Re
0.1655 0.2500 0.3310 Re
0.4336 0.2500 0.8672 Co
0.5664 0.7500 0.1328 Co

(5)
TaFeP2 (meta-GGA SCAN, PBEsol geometry); calculated formation energy = -415 meV per atom
1.0
-2.6248 0.5457 -1.5901
-1.5223 -2.0221 1.8190
-1.2205 3.9506 3.3703
Fe P Ta
1 2 1
direct
0.5000 0.5000 0.8167 Fe
0.0000 0.0000 0.9651 P
0.5000 0.5000 0.2512 P
0.0000 0.0000 0.4670 Ta

(6)
FeHg (meta-GGA SCAN, PBEsol geometry); calculated formation energy = 239 meV per atom
1.0
2.9982 0.0000 0.0000
0.0000 2.9997 0.0000
-1.4991 0.0000 7.2785
Hg Fe
2 2
direct
0.4129 0.2500 0.8258 Hg
0.5871 0.7500 0.1742 Hg
0.2124 0.2500 0.4248 Fe
0.7876 0.7500 0.5752 Fe

(7)
Sm4EuS5 (meta-GGA SCAN, PBEsol geometry); formation energy (no corrections) = -2.310 eV per atom
1.0
-3.0191 2.5591 -0.3672
-3.6822 -1.3500 -0.6459
-4.7746 -0.3040 15.6244
Sm S Eu
4 5 1
direct
0.5985 0.5985 0.2045 Sm
0.8001 0.8001 0.5996 Sm
0.1999 0.1999 0.4004 Sm
0.4015 0.4015 0.7955 Sm
0.1007 0.1007 0.6978 S
0.2989 0.2989 0.1034 S
0.5000 0.5000 0.5000 S
0.7011 0.7011 0.8966 S
0.8993 0.8993 0.3022 S
0.0000 0.0000 0.0000 Eu

(8)
Fe (meta-GGA SCAN, PBEsol geometry); calculated formation energy = 226 meV per atom
1.0
2.3932 0.0000 0.0000
0.0000 2.3932 0.0000
0.0000 0.0000 7.0823
Fe
4
direct
0.0000 0.0000 0.2500 Fe
0.5000 0.5000 0.5000 Fe
0.5000 0.5000 0.0000 Fe
0.0000 0.0000 0.7500 Fe

(9)
KYAu2 (meta-GGA SCAN, PBEsol geometry); calculated formation energy = -603 meV per atom
1.0
-1.6864 1.4050 3.3644
-1.8617 -2.9037 -2.1188
5.6807 -4.2401 4.6181
K Y Au
1 1 2
direct
0.5000 0.0000 0.0000 K
0.0000 0.0000 0.5000 Y
0.2653 0.5306 0.2955 Au
0.7347 0.4694 0.7045 Au

(10)
Sc3PtC (meta-GGA SCAN, PBEsol geometry); calculated formation energy = -876 meV per atom
1.0
-3.4608 -2.3582 -1.3297
2.7056 -2.9384 -1.8309
0.0934 -2.2609 3.7665
Pt Sc C
1 3 1
direct
0.5000 0.5000 0.5000 Pt
0.0000 0.0000 0.5000 Sc
0.0000 0.5000 0.0000 Sc
0.5000 0.0000 0.0000 Sc
0.0000 0.0000 0.0000 C

(11)
FeTcP2 (meta-GGA SCAN, PBEsol geometry); calculated formation energy = -341 meV per atom
1.0
-2.3217 -0.1401 -1.9442
-1.2662 -2.1905 1.6699
-2.5350 3.5767 2.7695
P Tc Fe
2 1 1
direct
0.5000 0.5000 0.2595 P
0.0000 0.0000 0.9615 P
0.0000 0.0000 0.4523 Tc
0.5000 0.5000 0.8267 Fe

(12)
ZrCO2F (meta-GGA SCAN, PBEsol geometry); formation energy (no corrections) = -1.044 eV per atom
1.0
-1.8714 3.6267 0.2684
-3.5435 -1.7507 -1.0515
-0.8141 -0.7107 3.9269
O F C Zr
2 1 1 1
direct
0.5000 0.0000 0.0000 O
0.0000 0.5000 0.0000 O
0.0000 0.0000 0.5000 F
0.5000 0.5000 0.5000 C
0.0000 0.0000 0.0000 Zr

(13)
DyGaPd (meta-GGA SCAN, PBEsol geometry); calculated formation energy = -1017 meV per atom
1.0
-2.9332 -0.3768 3.2658
-4.6573 -2.2600 -4.4439
2.2651 -7.0653 1.2192
Ga Pd Dy
4 4 4
direct
0.7500 0.1741 0.9237 Ga
0.7500 0.6741 0.5763 Ga
0.2500 0.8259 0.0763 Ga
0.2500 0.3259 0.4237 Ga
0.2500 0.7188 0.4037 Pd
0.2500 0.2188 0.0963 Pd
0.7500 0.7812 0.9037 Pd
0.7500 0.2812 0.5963 Pd
0.2500 0.9822 0.6974 Dy
0.2500 0.4822 0.8026 Dy
0.7500 0.5178 0.1974 Dy
0.7500 0.0178 0.3026 Dy

(14)
BaLi3Ru (meta-GGA SCAN, PBEsol geometry); calculated formation energy = 1562 meV per atom
1.0
-0.9197 4.0082 2.4215
2.1856 -1.8152 3.8345
4.1416 1.8479 -1.4859
Li Ba Ru
3 1 1
direct
0.5000 0.0000 0.0000 Li
0.0000 0.5000 0.0000 Li
0.0000 0.0000 0.5000 Li
0.0000 0.0000 0.0000 Ba
0.5000 0.5000 0.5000 Ru

(15)
CuSbAu (meta-GGA SCAN, PBEsol geometry); formation energy (no corrections) = 0.091 eV per atom
1.0
4.4089 0.0000 0.0000
2.2045 3.8182 0.0000
2.2045 1.2727 3.5999
Cu Sb Au
1 1 1
direct
0.5000 0.5000 0.5000 Cu
0.7500 0.7500 0.7500 Sb
0.0000 0.0000 0.0000 Au

(16)
Y5Re2O12 (meta-GGA SCAN, PBEsol geometry); formation energy (no corrections) = -3.189 eV per atom
1.0
-3.1263 4.3101 1.7200
2.3095 -3.9510 4.9971
5.5500 4.6974 -1.6832
Re O Y
2 12 5
direct
0.7845 0.0000 0.0000 Re
0.2155 0.0000 0.0000 Re
0.9019 0.3080 0.5737 O
0.4987 0.9974 0.8222 O
0.5819 0.6689 0.9156 O
0.4061 0.3080 0.5737 O
0.0008 0.0017 0.7931 O
0.9992 0.9983 0.2069 O
0.5939 0.6920 0.4263 O
0.9131 0.3311 0.0844 O
0.4181 0.3311 0.0844 O
0.5013 0.0026 0.1778 O
0.0981 0.6920 0.4263 O
0.0869 0.6689 0.9156 O
0.0000 0.0000 0.5000 Y
0.3031 0.6063 0.6417 Y
0.6854 0.3708 0.8252 Y
0.6969 0.3937 0.3583 Y
0.3146 0.6292 0.1748 Y

(17)
TlCu2Pt (meta-GGA SCAN, PBEsol geometry); calculated formation energy = 67 meV per atom
1.0
3.8343 0.0000 0.0000
0.0000 3.8343 0.0000
-1.9171 -1.9171 4.0549
Pt Cu Tl
1 2 1
direct
0.5000 0.5000 0.0000 Pt
0.0000 0.0000 0.0000 Cu
0.7500 0.2500 0.5000 Cu
0.2500 0.7500 0.5000 Tl

(18)
BaY2Te (meta-GGA SCAN, PBEsol geometry); formation energy (no corrections) = -0.451 eV per atom
1.0
-2.0977 -1.3325 -2.9192
-2.9046 -0.7013 2.4019
-3.1250 8.0494 -1.4286
Te Y Ba
1 2 1
direct
0.5000 0.5000 0.0000 Te
0.0000 0.0000 0.1938 Y
0.0000 0.0000 0.8062 Y
0.5000 0.5000 0.5000 Ba

(19)
Cr7C3 (meta-GGA SCAN, PBEsol geometry); calculated formation energy = -73 meV per atom
1.0
-0.0024 4.4276 -0.3456
-6.7915 0.0675 0.9116
1.5921 0.9213 11.7924
Cr C
28 12
direct
0.0559 0.2500 0.6264 Cr
0.9441 0.7500 0.3736 Cr
0.7493 0.4332 0.4773 Cr
0.2507 0.9332 0.5227 Cr
0.7493 0.0668 0.4773 Cr
0.2493 0.0668 0.0227 Cr
0.0598 0.4346 0.8122 Cr
0.2538 0.2500 0.4172 Cr
0.5598 0.0654 0.6878 Cr
0.2493 0.4332 0.0227 Cr
0.7507 0.5668 0.9773 Cr
0.2462 0.7500 0.9172 Cr
0.4441 0.7500 0.1264 Cr
0.7353 0.2500 0.2947 Cr
0.0598 0.0654 0.8122 Cr
0.7507 0.9332 0.9773 Cr
0.7538 0.2500 0.0828 Cr
0.5559 0.2500 0.8736 Cr
0.2353 0.2500 0.2053 Cr
0.7462 0.7500 0.5828 Cr
0.9402 0.9346 0.1878 Cr
0.4402 0.5654 0.3122 Cr
0.2647 0.7500 0.7053 Cr
0.5598 0.4346 0.6878 Cr
0.4402 0.9346 0.3122 Cr
0.2507 0.5668 0.5227 Cr
0.9402 0.5654 0.1878 Cr
0.7647 0.7500 0.7947 Cr
0.9659 0.2500 0.9378 C
0.4714 0.5344 0.8428 C
0.5286 0.4656 0.1572 C
0.5341 0.7500 0.4378 C
0.0286 0.0344 0.3428 C
0.9714 0.9656 0.6572 C
0.5286 0.0344 0.1572 C
0.4659 0.2500 0.5622 C
0.0341 0.7500 0.0622 C
0.9714 0.5344 0.6572 C
0.4714 0.9656 0.8428 C
0.0286 0.4656 0.3428 C

(20)
TaCrN2F (meta-GGA SCAN, PBEsol geometry); formation energy (no corrections) = -0.243 eV per atom
1.0
-2.5504 -2.3908 0.2129
2.5900 -2.7735 -0.1184
0.2495 0.0712 3.7878
F N Ta Cr
1 2 1 1
direct
0.5000 0.0000 0.0000 F
0.0000 0.5000 0.0000 N
0.0000 0.0000 0.5000 N
0.5000 0.5000 0.5000 Ta
0.0000 0.0000 0.0000 Cr

(21)
KTeIr2 (meta-GGA SCAN, PBEsol geometry); formation energy (no corrections) = 1.011 eV per atom
1.0
-0.6672 -2.2527 -4.1149
3.6606 -0.7407 -2.9162
1.6985 -4.3820 -0.6046
K Te Ir
1 1 2
direct
0.5000 0.5000 0.5000 K
0.7500 0.7500 0.7500 Te
0.2500 0.2500 0.2500 Ir
0.0000 0.0000 0.0000 Ir

(22)
CsSn2I (meta-GGA SCAN, PBEsol geometry); formation energy (no corrections) = 0.355 eV per atom
1.0
5.7952 0.0000 0.0000
2.8976 5.0188 0.0000
2.8976 1.6729 4.7318
Sn I Cs
2 1 1
direct
0.2500 0.2500 0.2500 Sn
0.7500 0.7500 0.7500 Sn
0.0000 0.0000 0.0000 I
0.5000 0.5000 0.5000 Cs

(23)
TlMoPd3 (meta-GGA SCAN, PBEsol geometry); calculated formation energy = 985 meV per atom
1.0
4.7636 0.0000 0.0000
0.0000 4.7636 0.0000
0.0000 0.0000 4.7636
Pd Tl Mo
3 1 1
direct
0.5000 0.0000 0.0000 Pd
0.0000 0.0000 0.5000 Pd
0.0000 0.5000 0.0000 Pd
0.5000 0.5000 0.5000 Tl
0.0000 0.0000 0.0000 Mo

(24)
Na3TlC (meta-GGA SCAN, PBEsol geometry); calculated formation energy = 705 meV per atom
1.0
4.9272 0.0000 0.0000
0.0000 4.9272 0.0000
0.0000 0.0000 4.9272
Na C Tl
3 1 1
direct
0.0000 0.0000 0.5000 Na
0.5000 0.0000 0.0000 Na
0.0000 0.5000 0.0000 Na
0.0000 0.0000 0.0000 C
0.5000 0.5000 0.5000 Tl

(25)
CrAgRh (meta-GGA SCAN, PBEsol geometry); calculated formation energy = 142 meV per atom
1.0
2.7055 0.0000 0.0000
0.0000 2.7055 0.0000
-1.3527 -1.3527 5.6825
Ag Cr Rh
1 1 1
direct
0.0037 0.0037 0.0074 Ag
0.6800 0.6800 0.3601 Cr
0.3162 0.3162 0.6325 Rh

(26)
Cd2TePb (meta-GGA SCAN, PBEsol geometry); formation energy (no corrections) = 0.050 eV per atom
1.0
3.9152 0.5840 0.0000
-0.5820 3.9155 0.0000
0.0000 0.0000 6.6104
Cd Pb Te
2 1 1
direct
0.0000 0.0000 0.7615 Cd
0.0000 0.0000 0.2385 Cd
0.5000 0.5000 0.5000 Pb
0.5000 0.5000 0.0000 Te

no.,volume (Å³/cell)
1,70.55
2,57.56
3,42.26
4,48.63
5,51.83
6,65.46
7,221.36
8,40.56
9,114.99
10,84.83
11,47.65
12,68.13
13,226.01
14,108.69
15,60.60
16,245.26
17,59.61
18,128.64
19,363.22
20,50.48
21,75.23
22,137.63
23,108.09
24,119.62
25,41.59
26,103.58